Here is CaMoH2O4 after structural relaxation from the Alexandria database. Energies are from PBE+U.

The space group is I222 (No. 23) and the conventional cell measures 4.716, 5.542 and 6.154 Å, with angles of 90.00, 90.00 and 90.00 degrees. The distinct sites, in fractional coordinates, are Ca at (0.000, 0.000, 0.000), Mo at (0.000, 0.000, 0.500), H at (0.000, 0.500, 0.189) and O at (0.204, 0.359, 0.807).

The calculation puts the total energy at -6.013 eV/atom. The volume is 80.4 Å³/f.u.